## LaHgBi2H (PBE)

Data for a relaxed LaHgBi2H crystal.

Properties
Density = 10.23 g cm⁻³
N(E_F) = 0.553 states/eV/atom
Spin magnetization = 0.00 μB/f.u.
Electronic total energy = -3.540 eV per atom

Cell and atoms, written as extended XYZ:
```
5
Lattice="5.019 0.000 0.000 0.000 5.019 0.000 0.000 0.000 4.890" Properties=species:S:1:pos:R:3 pbc="T T T"
H 0.000 0.000 0.000
La 0.000 0.000 2.445
Bi 2.509 0.000 0.000
Hg 2.509 2.509 2.445
Bi 0.000 2.509 0.000
```